Density functional theory data (PBE) for crystalline Pr4HoCd at its relaxed geometry.

Calculated values
Calculated volume (Å³/atom): 33.05
Uncorrected energy (eV for the cell shown): -25.2
Energy relative to the lowest polymorph listed for this composition (meV per atom): 0.0
Spin magnetization (μB/atom): 0.000
Energy of formation from the pure elements (meV/atom): -93

Cell and atoms, written as extended XYZ:
```
6
Lattice="3.717 0.000 0.000 0.000 3.717 0.000 0.000 0.000 14.352" Properties=species:S:1:pos:R:3 pbc="T T T"
Pr 1.859 1.859 2.485
Pr 0.000 0.000 9.287
Pr 0.000 0.000 5.064
Pr 1.859 1.859 11.867
Ho 0.000 0.000 0.000
Cd 1.859 1.859 7.176
```

Density functional theory data (PBE) for crystalline PrHoCd2 at its relaxed geometry.

Calculated values
Calculated volume (Å³/atom): 27.55
Uncorrected energy (eV for the cell shown): -12.4
Energy relative to the lowest polymorph listed for this composition (meV per atom): 0.0
Spin magnetization (μB/atom): 0.129
Energy of formation from the pure elements (meV/atom): -314

Cell and atoms, written as extended XYZ:
```
4
Lattice="-2.190 -1.983 -2.315 -2.174 -0.982 2.898 -4.452 6.318 -1.198" Properties=species:S:1:pos:R:3 pbc="T T T"
Pr -4.409 1.677 -0.308
Ho -2.182 -1.483 0.291
Cd -3.430 4.868 -0.923
Cd -1.022 1.451 -0.275
```

Density functional theory data (PBE) for crystalline Pr8HoCd2 at its relaxed geometry.

Calculated values
Calculated volume (Å³/atom): 33.33
Uncorrected energy (eV for the cell shown): -45.4
Energy relative to the lowest polymorph listed for this composition (meV per atom): 0.0
Spin magnetization (μB/atom): 0.000
Energy of formation from the pure elements (meV/atom): -73

Cell and atoms, written as extended XYZ:
```
11
Lattice="-2.166 3.618 -3.423 -5.371 -5.988 -2.929 -1.982 2.696 8.412" Properties=species:S:1:pos:R:3 pbc="T T T"
Pr -4.228 -0.067 -1.704
Pr -2.163 2.546 4.060
Pr -2.004 0.100 1.374
Pr -4.289 -3.964 -1.475
Pr -7.515 0.226 0.685
Pr -7.356 -2.220 -2.000
Pr -5.291 0.393 3.763
Pr -5.230 4.289 3.534
Ho -1.083 1.809 -1.712
Cd -4.754 -1.786 1.121
Cd -4.765 2.112 0.938
```

Density functional theory data (PBE) for crystalline PrHo3Cd6 at its relaxed geometry.

Calculated values
Calculated volume (Å³/atom): 25.71
Uncorrected energy (eV for the cell shown): -53.7
Spin magnetization (μB/atom): 0.000
Energy of formation from the pure elements (meV/atom): -283

Cell and atoms, written as extended XYZ:
```
20
Lattice="5.218 0.000 0.000 0.000 8.785 -2.741 0.000 0.144 11.174" Properties=species:S:1:pos:R:3 pbc="T T T"
Pr 1.304 8.353 4.263
Pr 3.913 0.576 4.170
Ho 1.304 4.700 2.936
Ho 3.913 4.229 5.497
Ho 1.304 3.205 7.979
Ho 3.913 5.724 0.454
Ho 1.304 6.687 -2.077
Ho 3.913 2.242 10.509
Cd 1.304 3.988 -0.160
Cd 3.913 4.941 8.593
Cd 1.304 1.309 1.818
Cd 3.913 7.620 6.615
Cd 1.304 5.792 6.146
Cd 3.913 3.137 2.287
Cd 1.304 2.298 4.972
Cd 3.913 6.631 3.461
Cd 1.304 7.397 1.068
Cd 3.913 1.532 7.365
Cd 1.304 0.614 10.007
Cd 3.913 8.315 -1.574
```

The lowest uncorrected energy belongs to which entry?
PrHo3Cd6